Entry 1:
Entry from Alexandria: crystalline Ta2CdGe at its relaxed geometry (PBE).

The structure in POSCAR format:
```
Ta2CdGe
1.0
3.974 0.000 0.000
0.000 3.974 0.000
0.000 0.000 20.043
Ta Cd Ge
8 4 4
Cartesian
0.959 0.994 2.505
0.994 2.946 7.516
0.994 3.015 17.537
1.028 0.994 12.527
2.946 2.981 12.527
2.981 0.959 17.537
2.981 1.028 7.516
3.015 2.981 2.505
0.000 0.000 10.021
0.000 1.987 15.032
1.987 0.000 5.011
1.987 1.987 0.000
0.000 0.000 0.000
0.000 1.987 5.011
1.987 0.000 15.032
1.987 1.987 10.021
```

Space-group type   I-42d (122)
Energy relative to the elements   568 meV per atom

Entry 2:
Entry from Alexandria: crystalline EuICl at its relaxed geometry (PBE).

The structure in POSCAR format:
```
EuICl
1.0
7.545 0.000 0.000
0.000 7.545 0.000
0.000 0.000 7.545
Eu I Cl
4 4 4
Cartesian
0.000 0.000 0.000
0.000 3.772 3.772
3.772 0.000 3.772
3.772 3.772 0.000
1.886 1.886 5.659
1.886 5.659 1.886
5.659 1.886 1.886
5.659 5.659 5.659
1.886 1.886 1.886
1.886 5.659 5.659
5.659 1.886 5.659
5.659 5.659 1.886
```

Space-group type   F-43m (216)
Formation energy without anion corrections   -1.88 eV/atom

Number 1: calculated total energy -107.9 eV/cell. Number 2: calculated total energy -77.3 eV/cell.